[1]
# La6TbDy2Y (PBE-GGA, optimized geometry)
# - uncorrected energy (eV per atom) = -4.7933
data_La6TbDy2Y
_chemical_formula_sum 'La12 Tb2 Dy4 Y2'
_symmetry_space_group_name_H-M 'C 1 2/m 1'
_symmetry_Int_Tables_number 12
_cell_length_a 11.4270
_cell_length_b 7.1277
_cell_length_c 9.0532
_cell_angle_alpha 90.00
_cell_angle_beta 104.57
_cell_angle_gamma 90.00
loop_
_symmetry_equiv_pos_as_xyz
'x,y,z'
'-x,-y,-z'
'-x,y,-z'
'x,-y,z'
'x+1/2,y+1/2,z'
'-x+1/2,-y+1/2,-z'
'-x+1/2,y+1/2,-z'
'x+1/2,-y+1/2,z'
loop_
_atom_site_label
_atom_site_type_symbol
_atom_site_fract_x
_atom_site_fract_y
_atom_site_fract_z
La1 La 0.1325 0.0000 0.4291
La2 La 0.1858 0.2788 0.8042
Tb1 Tb 0.0000 0.0000 0.0000
Dy1 Dy 0.0842 0.5000 0.1671
Y1 Y 0.0000 0.5000 0.5000

=====

[2]
# Gd2DyMn (PBE-GGA, optimized geometry)
# - energy above the most stable polymorph in this dataset (meV per atom) = 169
# - uncorrected energy (eV per atom) = -10.1979
data_Gd2DyMn
_chemical_formula_sum 'Gd6 Dy3 Mn3'
_symmetry_space_group_name_H-M 'R -3 m'
_symmetry_Int_Tables_number 166
_symmetry_space_group_name_Hall '-R 3 2"'
_cell_length_a 3.4823
_cell_length_b 3.4823
_cell_length_c 31.6516
_cell_angle_alpha 90.00
_cell_angle_beta 90.00
_cell_angle_gamma 120.00
loop_
_atom_site_label
_atom_site_type_symbol
_atom_site_fract_x
_atom_site_fract_y
_atom_site_fract_z
Gd1 Gd 0.0000 0.0000 0.2396
Dy1 Dy 0.0000 0.0000 0.0000
Mn1 Mn 0.0000 0.0000 0.5000

=====

[3]
# NaSICl2 (PBE-GGA, optimized geometry)
# - uncorrected formation energy (kcal/mol of atoms) = 2.92
# - energy above the most stable polymorph in this dataset (meV per atom) = 378
# - uncorrected energy (eV per atom) = -2.0112
data_NaSICl2
_chemical_formula_sum 'Na1 S1 I1 Cl2'
_symmetry_space_group_name_H-M 'P 4/m m m'
_symmetry_Int_Tables_number 123
_symmetry_space_group_name_Hall '-P 4 2'
_cell_length_a 4.7523
_cell_length_b 4.7523
_cell_length_c 7.5515
_cell_angle_alpha 90.00
_cell_angle_beta 90.00
_cell_angle_gamma 90.00
loop_
_atom_site_label
_atom_site_type_symbol
_atom_site_fract_x
_atom_site_fract_y
_atom_site_fract_z
Na1 Na 0.0000 0.0000 0.0000
S1 S 0.0000 0.0000 0.5000
I1 I 0.5000 0.5000 0.5000
Cl1 Cl 0.0000 0.5000 0.0000

=====

[4]
# NaTlIn5Pb2 (PBE-GGA, optimized geometry)
# - uncorrected energy (eV per atom) = -2.7794
data_NaTlIn5Pb2
_chemical_formula_sum 'Na4 Tl4 In20 Pb8'
_symmetry_space_group_name_H-M 'C m c 21'
_symmetry_Int_Tables_number 36
_cell_length_a 4.5022
_cell_length_b 14.5186
_cell_length_c 15.5600
_cell_angle_alpha 90.00
_cell_angle_beta 90.00
_cell_angle_gamma 90.00
loop_
_symmetry_equiv_pos_as_xyz
'x,y,z'
'-x,-y,z+1/2'
'-x,y,z'
'x,-y,z+1/2'
'x+1/2,y+1/2,z'
'-x+1/2,-y+1/2,z+1/2'
'-x+1/2,y+1/2,z'
'x+1/2,-y+1/2,z+1/2'
loop_
_atom_site_label
_atom_site_type_symbol
_atom_site_fract_x
_atom_site_fract_y
_atom_site_fract_z
Na1 Na 0.0000 0.0885 0.0000
Tl1 Tl 0.0000 0.2495 0.5000
In1 In 0.0000 0.0817 0.3281
In2 In 0.0000 0.0825 0.6631
In3 In 0.0000 0.2491 0.1673
In4 In 0.0000 0.2577 0.8276
In5 In 0.0000 0.4185 0.6664
Pb1 Pb 0.0000 0.4137 0.3290
Pb2 Pb 0.0000 0.4190 0.9959

=====

Look up the uncorrected energy of the second one.
-10.1979 eV per atom